[1]
Computed, not measured: a relaxed Ca2AlAu crystal at the PBE level of DFT.

Lattice parameters (Å, degrees): 3.6927 3.6927 7.2737 90.00 90.00 90.00
Last column: nearest neighbours and their distance in Å.
Sites, in units of the cell vectors:
Ca1 0.0000 0.0000 0.2426  4 Au 3.15, 4 Al 3.21, 1 Ca 3.53
Ca2 0.0000 0.0000 0.7574  4 Au 3.15, 4 Al 3.21, 1 Ca 3.53
Al1 0.5000 0.5000 0.5000  8 Ca 3.21
Au1 0.5000 0.5000 0.0000  8 Ca 3.15

Space group = P4/mmm, No. 123
Crystal system = tetragonal


[2]
Computed, not measured: a relaxed Y8Te4AsSe3 crystal at the PBE level of DFT.

Lattice parameters (Å, degrees): 8.5401 8.5401 8.5401 59.00 59.00 59.00
Last column: nearest neighbours and their distance in Å.
Sites, in units of the cell vectors:
Y1 0.2384 0.2384 0.2384  3 Se 2.86, 3 Te 3.15
Y2 0.2432 0.7357 0.7357  1 As 2.83, 2 Se 2.87, 2 Te 3.13
Y3 0.2643 0.2643 0.7568  1 As 2.83, 2 Se 2.87, 2 Te 3.13
Y4 0.2643 0.7568 0.2643  1 As 2.83, 2 Se 2.87, 2 Te 3.13
Y5 0.7357 0.2432 0.7357  1 As 2.83, 2 Se 2.87, 2 Te 3.13
Y6 0.7357 0.7357 0.2432  1 As 2.83, 2 Se 2.87, 2 Te 3.13
Y7 0.7568 0.2643 0.2643  1 As 2.83, 2 Se 2.87, 2 Te 3.13
Y8 0.7617 0.7617 0.7617  3 Se 2.86, 3 Te 3.15
Te1 0.0000 0.0000 0.0000  6 Y 3.18
Te2 0.0000 0.5000 0.5000  6 Y 3.13-3.15
Te3 0.5000 0.0000 0.5000  6 Y 3.13-3.15
Te4 0.5000 0.5000 0.0000  6 Y 3.13-3.15
As1 0.5000 0.5000 0.5000  6 Y 2.83
Se1 0.0000 0.0000 0.5000  6 Y 2.86-2.87
Se2 0.0000 0.5000 0.0000  6 Y 2.86-2.87
Se3 0.5000 0.0000 0.0000  6 Y 2.86-2.87

Space group = R-3m, No. 166
Crystal system = trigonal


[3]
Computed, not measured: a relaxed KNi2As crystal at the PBE level of DFT.

Lattice parameters (Å, degrees): 2.9524 3.9000 6.9994 90.00 99.96 90.00
Last column: nearest neighbours and their distance in Å.
Sites, in units of the cell vectors:
K1 0.0000 0.0000 0.0000  2 K 2.95
Ni1 0.2957 0.5000 0.6434  2 As 2.32, 2 Ni 2.42-2.51
Ni2 0.7043 0.5000 0.3566  2 As 2.32, 2 Ni 2.42-2.51
As1 0.5000 0.0000 0.5000  4 Ni 2.32

Space group = P2/m, No. 10
Crystal system = monoclinic


[4]
Computed, not measured: a relaxed Co2Sn2Pt crystal at the PBE level of DFT.

Lattice parameters (Å, degrees): 7.3364 7.3364 2.9679 90.00 90.00 90.00
Last column: nearest neighbours and their distance in Å.
Sites, in units of the cell vectors:
Co1 0.1351 0.3649 0.0000  6 Sn 2.59-2.63, 1 Co 2.80
Co2 0.3649 0.8649 0.0000  6 Sn 2.59-2.63, 1 Co 2.80
Co3 0.6351 0.1351 0.0000  6 Sn 2.59-2.63, 1 Co 2.80
Co4 0.8649 0.6351 0.0000  6 Sn 2.59-2.63, 1 Co 2.80
Sn1 0.1600 0.6600 0.5000  6 Co 2.59-2.63, 2 Pt 2.76
Sn2 0.3400 0.1600 0.5000  6 Co 2.59-2.63, 2 Pt 2.76
Sn3 0.6600 0.8400 0.5000  6 Co 2.59-2.63, 2 Pt 2.76
Sn4 0.8400 0.3400 0.5000  6 Co 2.59-2.63, 2 Pt 2.76
Pt1 0.0000 0.0000 0.5000  4 Sn 2.76, 2 Pt 2.97
Pt2 0.5000 0.5000 0.5000  4 Sn 2.76, 2 Pt 2.97

Space group = P4/mbm, No. 127
Crystal system = tetragonal
Energy relative to the lowest polymorph listed for this composition = 0.0791 eV per atom


[5]
Computed, not measured: a relaxed YCd2Si crystal at the PBE level of DFT.

Lattice parameters (Å, degrees): 4.2399 4.2399 4.8395 90.00 90.00 90.00
Last column: nearest neighbours and their distance in Å.
Sites, in units of the cell vectors:
Y1 0.0000 0.0000 0.0000  4 Si 3.00, 8 Cd 3.22
Cd1 0.0000 0.5000 0.5000  4 Cd 3.00, 4 Si 3.22, 4 Y 3.22
Cd2 0.5000 0.0000 0.5000  4 Cd 3.00, 4 Si 3.22, 4 Y 3.22
Si1 0.5000 0.5000 0.0000  4 Y 3.00, 8 Cd 3.22

Space group = P4/mmm, No. 123
Crystal system = tetragonal


[6]
Computed, not measured: a relaxed SrScMo crystal at the PBE level of DFT.

Lattice parameters (Å, degrees): 5.0204 5.0204 5.0204 60.00 60.00 60.00
Last column: nearest neighbours and their distance in Å.
Sites, in units of the cell vectors:
Sr1 0.0000 0.0000 0.0000  4 Mo 3.07
Sc1 0.5000 0.5000 0.5000  4 Mo 3.07
Mo1 0.7500 0.7500 0.7500  4 Sc 3.07, 4 Sr 3.07

Space group = F-43m, No. 216
Crystal system = cubic
Energy relative to the lowest polymorph listed for this composition = 0.5906 eV per atom


[7]
Computed, not measured: a relaxed TbHfZnAg crystal at the PBE level of DFT.

Lattice parameters (Å, degrees): 4.9382 4.9382 4.9382 60.00 60.00 60.00
Last column: nearest neighbours and their distance in Å.
Sites, in units of the cell vectors:
Tb1 0.0000 0.0000 0.0000  4 Ag 3.02, 4 Zn 3.02
Hf1 0.5000 0.5000 0.5000  4 Ag 3.02, 4 Zn 3.02
Zn1 0.2500 0.2500 0.2500  4 Hf 3.02, 4 Tb 3.02
Ag1 0.7500 0.7500 0.7500  4 Hf 3.02, 4 Tb 3.02

Space group = F-43m, No. 216
Crystal system = cubic


[8]
Computed, not measured: a relaxed KReSb2 crystal at the PBE level of DFT.

Lattice parameters (Å, degrees): 5.1240 5.1240 5.1240 60.00 60.00 60.00
Last column: nearest neighbours and their distance in Å.
Sites, in units of the cell vectors:
K1 0.0000 0.0000 0.0000  4 Re 3.14, 4 Sb 3.14
Re1 0.7500 0.7500 0.7500  4 K 3.14, 4 Sb 3.14
Sb1 0.2500 0.2500 0.2500  4 Sb 3.14, 4 K 3.14
Sb2 0.5000 0.5000 0.5000  4 Re 3.14, 4 Sb 3.14

Space group = F-43m, No. 216
Crystal system = cubic
Energy relative to the lowest polymorph listed for this composition = 1.1038 eV per atom


| no. | final energy (eV per atom) | total magnetic moment (μB/f.u.) |
| --- | --- | --- |
| 1 | -3.23 | 0.0 |
| 2 | -6.51 | 0.0 |
| 3 | -4.09 | 0.0 |
| 4 | -5.60 | 0.0 |
| 5 | -3.74 | 0.0 |
| 6 | -5.09 | 2.3 |
| 7 | -4.76 | 1.0 |
| 8 | -4.29 | 1.6 |